5
Lattice="5.091 0.000 0.000 0.000 4.008 0.000 0.000 0.000 5.091" Properties=species:S:1:pos:R:3 comment="PBE CdBAs2Ir, optimized geometry" formation_energy_mev_per_atom=1829 spacegroup="No. 123" magmom_total_mub_per_cell=0.0 pbc="T T T"
As 2.545 0.000 0.000
Ir 2.545 2.004 2.545
B 0.000 2.004 0.000
As 0.000 0.000 2.545
Cd 0.000 0.000 0.000

5
Lattice="-5.225 -0.260 0.456 0.346 -4.689 1.293 0.370 1.418 5.043" Properties=species:S:1:pos:R:3 comment="PBE MgCd2BAs, optimized geometry" formation_energy_mev_per_atom=1097 spacegroup="No. 123" magmom_total_mub_per_cell=0.0 pbc="T T T"
B -2.255 -1.766 3.396
Cd 0.185 0.709 2.521
Mg 0.173 -2.345 0.647
Cd -2.613 -0.130 0.228
As 0.000 0.000 0.000

5
Lattice="-5.575 0.918 0.213 -0.449 -2.560 -0.708 -0.039 -1.500 5.451" Properties=species:S:1:pos:R:3 comment="PBE CdBAs2N, optimized geometry" e_form_raw_mev_per_atom=255 spacegroup="No. 123" magmom_total_mub_per_cell=0.0 pbc="T T T"
As -0.019 -0.750 2.726
Cd -3.031 -1.571 2.478
B 0.000 0.000 0.000
N -0.224 -1.280 -0.354
As -2.788 0.459 0.106

20
Lattice="5.597 0.365 0.379 2.199 7.415 -0.298 2.199 -0.573 7.399" Properties=species:S:1:pos:R:3 comment="PBE CdBAs2O6, optimized geometry" e_form_raw_mev_per_atom=-1258 spacegroup="No. 15" magmom_total_mub_per_cell=0.0 pbc="T T T"
B 3.598 0.791 6.267
Cd 3.598 6.501 0.765
O 5.909 2.445 2.963
O 8.089 2.078 6.578
O 4.086 4.762 4.517
As 1.594 2.812 1.421
As 5.602 5.708 4.427
O 6.885 4.520 5.116
O 5.290 6.314 2.131
O 4.820 0.436 1.589
O 1.906 5.129 0.901
B 6.397 6.416 1.212
O 5.174 6.771 5.890
Cd 6.397 0.706 6.714
As 4.393 1.499 3.053
O 4.705 0.893 5.349
O 2.022 1.389 0.305
O 3.110 2.687 2.363
O 7.973 5.818 7.174
As 8.401 4.395 6.058